Below is K3Ta2FeO8 after structural relaxation, with properties calculated at the PBE with a Hubbard U level.

Output
Spin magnetization, μB per formula unit: 5.1
Energy, eV per atom: -7.428
N(E_F), states/eV per atom: 0.00
SG: P-3m1

abc: 5.923 5.923 7.609
angles: 90.00 90.00 120.00
Each line ends with the local moment (μB).
Sites, in units of the cell vectors:
K 0.333 0.667 0.680  0.00
K 0.667 0.333 0.320  0.00
K 0.000 0.000 0.000  0.00
Ta 0.333 0.667 0.251  0.04
Ta 0.667 0.333 0.749  0.04
Fe 0.000 0.000 0.500  4.39
O 0.333 0.667 0.011  0.03
O 0.667 0.333 0.989  0.03
O 0.162 0.838 0.340  0.07
O 0.838 0.162 0.660  0.07
O 0.162 0.324 0.340  0.07
O 0.838 0.676 0.660  0.07
O 0.676 0.838 0.340  0.07
O 0.324 0.162 0.660  0.07